Computed, not measured: a relaxed CsCrAgO4 crystal at the PBE+U level of DFT.

a b c (Å): 5.3598 6.3985 8.2266
angles (deg): 90.00 105.72 90.00
With the nearest neighbours (Å) after each atom.
Element x y z (fractional)
Cs 0.2115 0.2500 0.1337  7 O 3.15-3.46
Cs 0.7885 0.7500 0.8663  7 O 3.15-3.46
Cr 0.3612 0.2500 0.7064  4 O 1.65-1.69
Cr 0.6388 0.7500 0.2936  4 O 1.65-1.69
Ag 0.1560 0.7500 0.5263  3 O 2.27-2.36
Ag 0.8440 0.2500 0.4737  3 O 2.27-2.36
O 0.1785 0.0356 0.7117  1 Cr 1.69
O 0.1785 0.4644 0.7117  1 Cr 1.69
O 0.3815 0.7500 0.1281  1 Cr 1.65
O 0.4512 0.2500 0.5276  1 Cr 1.67
O 0.5488 0.7500 0.4724  1 Cr 1.67
O 0.6185 0.2500 0.8719  1 Cr 1.65
O 0.8215 0.5356 0.2883  1 Cr 1.69
O 0.8215 0.9644 0.2883  1 Cr 1.69

Output
VASP energy	-78.77	eV for the cell shown